A geometry-optimized Eu2DyBr structure, computed with PBE-GGA.

Cell lengths 3.8411, 3.8411, 32.1249 Å; angles 90.00, 90.00, 120.00 degrees
Space group R-3m (No. 166, hexagonal axes)
Symmetry-distinct sites (fractional):
Eu1 0.0000 0.0000 0.2398 [6 per cell]
Dy1 0.0000 0.0000 0.0000 [3 per cell]
Br1 0.0000 0.0000 0.5000 [3 per cell]

Properties
Its energy relative to the elements, uncorrected is -2.57 eV per formula unit.

A geometry-optimized NaBPb structure, computed with PBE-GGA.

Cell lengths 4.2542, 4.2542, 7.2997 Å; angles 90.00, 90.00, 120.00 degrees
Space group P6_3mc (No. 186)
Symmetry-distinct sites (fractional):
Na1 0.0000 0.0000 0.0000 [2 per cell]
B1 0.3333 0.6667 0.3440 [2 per cell]
Pb1 0.3333 0.6667 0.7378 [2 per cell]

Properties
The value obtained for the formation energy is 2.063 eV/f.u.